SrNb2Fe | PBE | relaxed

Unit cell a=4.8392 b=4.8392 c=4.8392 alpha=60.00 beta=60.00 gamma=60.00
Element x y z (fractional)
Nb: 0.0000 0.0000 0.0000
Sr: 0.5000 0.5000 0.5000
Nb: 0.7500 0.7500 0.7500
Fe: 0.2500 0.2500 0.2500

Properties
* raw total energy: -6.625 eV/atom
* crystal system: cubic
* theoretical density: 6.823 g/cm³
* space-group type: F-43m